Entry P
# Al2SiC PBE-GGA optimized geometry
# Calculated volume, A^3/atom: 13.42
# N(E_F), states/eV/atom: 0.68
# Total magnetization, Bohr magnetons per cell: 0.0
data_Al2SiC
_symmetry_space_group_name_H-M 'F m -3 m'
_symmetry_Int_Tables_number 225
_symmetry_space_group_name_Hall '-F 4 2 3'
_cell_length_a 5.988
_cell_length_b 5.988
_cell_length_c 5.988
_cell_angle_alpha 90.00
_cell_angle_beta 90.00
_cell_angle_gamma 90.00
loop_
_atom_site_label
_atom_site_type_symbol
_atom_site_fract_x
_atom_site_fract_y
_atom_site_fract_z
Al1 Al 0.250 0.250 0.250
Si1 Si 0.000 0.000 0.000
C1 C 0.000 0.000 0.500

---

Entry Q
# Al2SiC PBE-GGA optimized geometry
# Calculated volume, A^3/atom: 14.35
# N(E_F), states/eV/atom: 0.08
# Total magnetization, Bohr magnetons per cell: 0.0
data_Al2SiC
_symmetry_space_group_name_H-M 'R -3 m'
_symmetry_Int_Tables_number 166
_symmetry_space_group_name_Hall '-R 3 2"'
_cell_length_a 3.1111
_cell_length_b 3.1111
_cell_length_c 20.5405
_cell_angle_alpha 90.00
_cell_angle_beta 90.00
_cell_angle_gamma 120.00
loop_
_atom_site_label
_atom_site_type_symbol
_atom_site_fract_x
_atom_site_fract_y
_atom_site_fract_z
Al1 Al 0.0000 0.0000 0.1168
Si1 Si 0.0000 0.0000 0.0000
C1 C 0.0000 0.0000 0.5000

---

Entry R
# Al2SiC PBE-GGA optimized geometry
# Calculated volume, A^3/atom: 16.64
# N(E_F), states/eV/atom: 0.09
# Total magnetization, Bohr magnetons per cell: 0.0
data_Al2SiC
_symmetry_space_group_name_H-M 'I -4 2 d'
_symmetry_Int_Tables_number 122
_symmetry_space_group_name_Hall 'I -4 2bw'
_cell_length_a 5.424
_cell_length_b 5.424
_cell_length_c 9.051
_cell_angle_alpha 90.00
_cell_angle_beta 90.00
_cell_angle_gamma 90.00
loop_
_atom_site_label
_atom_site_type_symbol
_atom_site_fract_x
_atom_site_fract_y
_atom_site_fract_z
Al1 Al 0.156 0.250 0.125
Si1 Si 0.000 0.000 0.500
C1 C 0.000 0.000 0.000

---

Which structure above is the least stable? It is entry P.